KW2S2Br6, relaxed, DFT GGA-PBE; electronic total energy = -4.7492 eV per atom
1.0
-2.2866 5.3831 6.7363
2.2866 -5.3831 6.7363
2.2866 5.3831 -6.7363
S Br W K
2 6 2 1
Direct
0.3568 0.0000 0.3568
0.6432 0.0000 0.6432
0.3113 0.6306 0.6807
0.9498 0.6306 0.3193
0.6546 0.6546 0.0000
0.3454 0.3454 0.0000
0.0502 0.3694 0.6807
0.6887 0.3694 0.3193
0.6406 0.5000 0.1406
0.3594 0.5000 0.8594
0.0000 0.0000 0.0000

---

KW2Se2Br6, relaxed, DFT GGA-PBE; electronic total energy = -4.5405 eV per atom
1.0
-2.4169 5.3616 6.5868
2.4169 -5.3616 6.5868
2.4169 5.3616 -6.5868
Se W Br K
2 2 6 1
Direct
0.6476 0.0000 0.6476
0.3524 0.0000 0.3524
0.3579 0.5000 0.8579
0.6421 0.5000 0.1421
0.9553 0.6332 0.3221
0.3428 0.3428 0.0000
0.6889 0.3668 0.3221
0.3111 0.6332 0.6779
0.0447 0.3668 0.6779
0.6572 0.6572 0.0000
0.0000 0.0000 0.0000

---

K2TlZnBr6, relaxed, DFT GGA-PBE; electronic total energy = -2.6429 eV per atom
1.0
0.0000 5.5426 5.5426
5.5426 0.0000 5.5426
5.5426 5.5426 0.0000
Tl K Br Zn
1 2 6 1
Direct
0.5000 0.5000 0.5000
0.7500 0.7500 0.7500
0.2500 0.2500 0.2500
0.7635 0.7635 0.2365
0.2365 0.7635 0.2365
0.7635 0.2365 0.2365
0.2365 0.2365 0.7635
0.2365 0.7635 0.7635
0.7635 0.2365 0.7635
0.0000 0.0000 0.0000

---

KZrTl2Br6, relaxed, DFT GGA-PBE; electronic total energy = -3.5628 eV per atom
1.0
0.0000 5.7726 5.7726
5.7726 0.0000 5.7726
5.7726 5.7726 0.0000
Br Zr Tl K
6 1 2 1
Direct
0.7677 0.7677 0.2323
0.7677 0.2323 0.7677
0.2323 0.7677 0.7677
0.2323 0.7677 0.2323
0.7677 0.2323 0.2323
0.2323 0.2323 0.7677
0.0000 0.0000 0.0000
0.2500 0.2500 0.2500
0.7500 0.7500 0.7500
0.5000 0.5000 0.5000

---

K3TmBr6, relaxed, DFT GGA-PBE; electronic total energy = -3.6045 eV per atom
1.0
7.8526 0.0000 0.0000
0.0000 8.3591 0.0000
-7.6604 0.0000 11.2713
Br Tm K
12 2 6
Direct
0.7600 0.2235 0.4249
0.3420 0.3219 0.5580
0.2400 0.7765 0.5751
0.9043 0.5522 0.2731
0.6580 0.8219 0.9420
0.3420 0.1781 0.0580
0.7600 0.2765 0.9249
0.9043 0.9478 0.7731
0.2400 0.7235 0.0751
0.6580 0.6781 0.4420
0.0957 0.0522 0.2269
0.0957 0.4478 0.7269
0.0000 0.0000 0.0000
0.0000 0.5000 0.5000
0.2878 0.0792 0.7563
0.2878 0.4208 0.2563
0.5000 0.5000 0.0000
0.7122 0.5792 0.7437
0.5000 0.0000 0.5000
0.7122 0.9208 0.2437

---

K2UBr5, relaxed, DFT GGA-PBE; electronic total energy = -4.2683 eV per atom
1.0
-8.8715 -10.1499 -2.0409
6.7315 -5.1406 -3.6953
1.8388 -3.1665 7.7546
K Br U
8 20 4
Direct
0.3282 0.9956 0.4468
0.3282 0.5044 0.4468
0.8282 0.5044 0.0532
0.8282 0.9956 0.0532
0.1718 0.4956 0.9468
0.1718 0.0044 0.9468
0.6718 0.4956 0.5532
0.6718 0.0044 0.5532
0.4214 0.0434 0.8336
0.2058 0.7500 0.6636
0.6800 0.2500 0.8727
0.7942 0.2500 0.3364
0.1800 0.2500 0.6273
0.0786 0.9566 0.3336
0.4214 0.4566 0.8336
0.5786 0.9566 0.1664
0.9214 0.0434 0.6664
0.9214 0.4566 0.6664
0.2942 0.2500 0.1636
0.3200 0.7500 0.1273
0.0070 0.2500 0.0753
0.8200 0.7500 0.3727
0.0786 0.5434 0.3336
0.4930 0.7500 0.5753
0.5070 0.2500 0.4247
0.9930 0.7500 0.9247
0.5786 0.5434 0.1664
0.7058 0.7500 0.8364
0.4966 0.7500 0.9278
0.9966 0.7500 0.5722
0.5034 0.2500 0.0722
0.0034 0.2500 0.4278